{"formula": "AgRhO3", "functional": "PBE", "state": "relaxed", "lattice_angstrom": [[7.3004, 0.0000, 0.0000], [0.0000, 3.1033, 0.0000], [0.0000, 0.0000, 5.3900]], "species": ["Ag", "Ag", "Rh", "Rh", "O", "O", "O", "O", "O", "O"], "frac_coords": [[0.2500, 0.0000, 0.0145], [0.7500, 0.0000, 0.9855], [0.0000, 0.5000, 0.5000], [0.5000, 0.5000, 0.5000], [0.0295, 0.0000, 0.7412], [0.2500, 0.5000, 0.3748], [0.4705, 0.0000, 0.7412], [0.5295, 0.0000, 0.2588], [0.7500, 0.5000, 0.6252], [0.9705, 0.0000, 0.2588]], "space_group": "Pmma, No. 51", "vol_a3_per_atom": 12.21, "formation_energy_uncorrected_ev_per_atom": -0.431, "energy_ev_per_atom": -5.447}